Entry 1:
KNaTi2Cr: optimized geometry, PBE.

POSCAR file:
```
KNaTi2Cr
1.0
-3.357 2.852 2.864
-4.056 -3.378 -1.390
1.046 -2.982 4.197
Ti K Na Cr
2 1 1 1
direct
0.000 0.000 0.500
0.500 0.000 0.000
0.000 0.500 0.000
0.000 0.000 0.000
0.500 0.500 0.500
```

* formation enthalpy at 0 K: 177.2 kJ/mol of atoms
* SG: P4/mmm, No. 123
* energy: -18.6 eV/cell

=====

Entry 2:
KNb2Cr: optimized geometry, PBE.

POSCAR file:
```
KNb2Cr
1.0
2.483 -3.831 -1.145
0.313 -3.592 3.025
-2.213 -4.050 -0.920
Nb Cr K
2 1 1
direct
0.750 0.750 0.750
0.250 0.250 0.250
0.500 0.500 0.500
0.000 0.000 0.000
```

* formation enthalpy at 0 K: 143.2 kJ/mol of atoms
* E above lowest polymorph: 0.0000 eV/atom
* SG: Fm-3m, No. 225
* energy: -24.9 eV/cell